Computed, not measured: CePr2HoP4 after structural relaxation at the PBE level of DFT.

abc: 7.1170 4.1189 7.1396
angles: 90.00 109.38 90.00
Closest atoms and distances in Å follow each position.
Space group P2/m (No. 10)
Symmetry-distinct sites (fractional):
1 Ce 0.0000 0.0000 0.0000 x1  6 P 2.86-2.87
2 Pr 0.0000 0.5000 0.5000 x1  6 P 2.96-2.97
3 Pr 0.5000 0.0000 0.5000 x1  6 P 2.96
4 Ho 0.5000 0.5000 0.0000 x1  6 P 2.86
5 P 0.2473 0.5000 0.2382 x2  1 Ho 2.86, 2 Ce 2.87, 3 Pr 2.96
6 P 0.2547 0.0000 0.7630 x2  1 Ce 2.86, 2 Ho 2.86, 3 Pr 2.96-2.97

Output
Its energy of formation is -1.537 eV per atom.

---

Computed, not measured: ZnCrMo2 after structural relaxation at the PBE level of DFT.

abc: 2.7477 2.7477 27.4581
angles: 90.00 90.00 120.00
Closest atoms and distances in Å follow each position.
Space group R3m (No. 160, hexagonal axes)
Symmetry-distinct sites (fractional):
1 Zn 0.0000 0.0000 0.0000 x3  3 Cr 2.70, 6 Zn 2.75, 3 Mo 2.84
2 Cr 0.0000 0.0000 0.7461 x3  3 Zn 2.70, 3 Mo 2.70, 6 Cr 2.75
3 Mo 0.0000 0.0000 0.2477 x3  9 Mo 2.75-2.90, 3 Zn 2.84
4 Mo 0.0000 0.0000 0.4925 x3  3 Cr 2.70, 9 Mo 2.75-2.90

Output
Its energy of formation is 0.375 eV per atom.

---

Computed, not measured: AcNpAl4 after structural relaxation at the PBE level of DFT.

abc: 8.0628 8.0628 8.0628
angles: 90.00 90.00 90.00
Closest atoms and distances in Å follow each position.
Space group F-43m (No. 216)
Symmetry-distinct sites (fractional):
1 Ac 0.0000 0.0000 0.0000 x4  12 Al 3.35, 4 Np 3.49
2 Np 0.2500 0.2500 0.2500 x4  12 Al 3.34, 4 Ac 3.49
3 Al 0.1236 0.1236 0.6236 x16  6 Al 2.82-2.88

Output
Its energy of formation is -0.165 eV per atom.

---

no.,raw total energy (eV per cell)
1,-54.0
2,-93.2
3,-132.0